# 1
## CsK3F (GGA-PBE)

Data for an optimized crystal structure of CsK3F.

Calculated values
distance to the lowest polymorph of the same formula: 0 meV per atom
spin magnetization: 0.00 μB per cell
E_form (uncorrected): -840 meV/atom
E_tot: -0.075 hartree per atom
volume: 52.44 A^3/atom
density: 1.705 g/cm3

The structure in POSCAR format:
```
CsK3F
1.0
-5.156 -3.667 -0.965
0.966 -2.846 5.651
-3.667 4.406 2.846
Cs F K
1 1 3
Direct
0.500 0.500 0.500
0.000 0.000 0.000
0.500 0.000 0.000
0.000 0.000 0.500
0.000 0.500 0.000
```

# 2
## FeCuTeAsOs (GGA-PBE)

Data for an optimized crystal structure of FeCuTeAsOs.

Calculated values
distance to the lowest polymorph of the same formula: 196 meV per atom
spin magnetization: 2.19 μB per cell
E_form (uncorrected): 313 meV/atom
E_tot: -0.221 hartree per atom
volume: 16.09 A^3/atom
density: 10.571 g/cm3

The structure in POSCAR format:
```
FeCuTeAsOs
1.0
3.700 0.000 -0.068
0.000 3.321 0.000
-1.736 0.000 6.579
Cu As Os Fe Te
1 1 1 1 1
Direct
0.373 0.500 0.977
0.546 0.500 0.325
0.168 0.500 0.569
0.990 0.000 0.212
0.773 0.000 0.780
```

# 3
## Li5LaAg2 (GGA-PBE)

Data for an optimized crystal structure of Li5LaAg2.

Calculated values
ΔE_f: -0.10 eV per atom
spin magnetization: 0.00 μB per cell
E_tot: -0.097 hartree per atom
volume: 21.58 A^3/atom
density: 3.744 g/cm3

The structure in POSCAR format:
```
Li5LaAg2
1.0
3.898 0.001 0.936
1.642 6.506 1.742
0.400 0.074 6.920
La Ag Li
1 2 5
Direct
0.000 0.000 0.000
0.739 0.761 0.761
0.261 0.239 0.239
0.344 0.469 0.843
0.656 0.531 0.157
0.344 0.843 0.469
0.656 0.157 0.531
0.000 0.500 0.500
```